The following is a DFT calculation (PBE-GGA) of a relaxed structure of Ac2TbReO8.

Properties
V ... 16.93 Å³/atom
E ... -8.07 eV per atom
Raw formation energy ... -256.79 kJ per mole of atoms

Geometry as CIF:
```
data_Ac2TbReO8
_space_group_name_H-M_alt 'P -1'
_space_group_IT_number 2
_space_group_name_Hall '-P 1'
_cell_length_a 5.352
_cell_length_b 5.362
_cell_length_c 7.082
_cell_angle_alpha 89.94
_cell_angle_beta 89.98
_cell_angle_gamma 88.70
loop_
_atom_site_label
_atom_site_type_symbol
_atom_site_fract_x
_atom_site_fract_y
_atom_site_fract_z
_atom_site_occupancy
Ac1 Ac 0.001 0.498 0.255 1
Tb1 Tb 0.500 0.000 0.000 1
Re1 Re 0.500 0.000 0.500 1
O1 O 0.204 0.296 0.999 1
O2 O 0.249 0.250 0.501 1
O3 O 0.331 0.832 0.298 1
O4 O 0.333 0.830 0.703 1
```